# Ba2GePt3O12 GGA-PBE relaxed
data_Ba2GePt3O12
_chemical_formula_sum 'Ba6 Ge3 Pt9 O36'
_cell_length_a 7.1256
_cell_length_b 7.1256
_cell_length_c 17.2951
_cell_angle_alpha 90.00
_cell_angle_beta 90.00
_cell_angle_gamma 120.00
_symmetry_space_group_name_H-M 'R -3 m'
_symmetry_Int_Tables_number 166
_symmetry_space_group_name_Hall '-R 3 2"'
loop_
_atom_site_label
_atom_site_fract_x
_atom_site_fract_y
_atom_site_fract_z
Ba1 0.0000 0.0000 0.1459
Ge1 0.0000 0.0000 0.5000
Pt1 0.0000 0.5000 0.0000
O1 0.0645 0.5323 0.3691
O2 0.0689 0.5345 0.1121
# **Fermi-level density of states**: 0.6363 states/eV/atom
# **Raw formation energy**: -1.137 eV/atom
# **Final energy**: -5.92 eV/atom
# **Total magnetization**: 0.00 μB/atom

# LaMoRu2 GGA-PBE relaxed
data_LaMoRu2
_chemical_formula_sum 'La2 Mo2 Ru4'
_cell_length_a 9.8561
_cell_length_b 3.0982
_cell_length_c 5.1116
_cell_angle_alpha 90.00
_cell_angle_beta 104.60
_cell_angle_gamma 90.00
_symmetry_space_group_name_H-M 'C 1 m 1'
_symmetry_Int_Tables_number 8
loop_
_symmetry_equiv_pos_as_xyz
'x,y,z'
'x,-y,z'
'x+1/2,y+1/2,z'
'x+1/2,-y+1/2,z'
loop_
_atom_site_label
_atom_site_fract_x
_atom_site_fract_y
_atom_site_fract_z
La1 0.0000 0.0000 0.0000
Mo1 0.2151 0.0000 0.6751
Ru1 0.0018 0.5000 0.4899
Ru2 0.2716 0.5000 0.3144
# **Fermi-level density of states**: 1.1600 states/eV/atom
# **Relative energy among the computed polymorphs**: 268 meV/atom
# **Final energy**: -8.26 eV/atom
# **Total magnetization**: 0.00 μB/atom

# SrLa3Ru GGA-PBE relaxed
data_SrLa3Ru
_chemical_formula_sum 'Sr4 La12 Ru4'
_cell_length_a 10.0719
_cell_length_b 7.2537
_cell_length_c 11.1833
_cell_angle_alpha 90.00
_cell_angle_beta 118.15
_cell_angle_gamma 90.00
_symmetry_space_group_name_H-M 'P 1 21/c 1'
_symmetry_Int_Tables_number 14
loop_
_symmetry_equiv_pos_as_xyz
'x,y,z'
'-x,-y,-z'
'-x,y+1/2,-z+1/2'
'x,-y+1/2,z+1/2'
loop_
_atom_site_label
_atom_site_fract_x
_atom_site_fract_y
_atom_site_fract_z
Sr1 0.1657 0.1271 0.1300
La1 0.1375 0.6291 0.2400
La2 0.3241 0.0081 0.5089
La3 0.4887 0.5907 0.6262
Ru1 0.3848 0.6979 0.8318
# **Fermi-level density of states**: 1.1549 states/eV/atom
# **Relative energy among the computed polymorphs**: 121 meV/atom
# **Final energy**: -5.21 eV/atom
# **Total magnetization**: 0.00 μB/atom

# Dy8AgOs2 GGA-PBE relaxed
data_Dy8AgOs2
_chemical_formula_sum 'Dy16 Ag2 Os4'
_cell_length_a 8.6887
_cell_length_b 12.7407
_cell_length_c 5.6068
_cell_angle_alpha 90.00
_cell_angle_beta 104.63
_cell_angle_gamma 90.00
_symmetry_space_group_name_H-M 'C 1 m 1'
_symmetry_Int_Tables_number 8
loop_
_symmetry_equiv_pos_as_xyz
'x,y,z'
'x,-y,z'
'x+1/2,y+1/2,z'
'x+1/2,-y+1/2,z'
loop_
_atom_site_label
_atom_site_fract_x
_atom_site_fract_y
_atom_site_fract_z
Dy1 0.0000 0.0000 0.0000
Dy2 0.0776 0.3678 0.7907
Dy3 0.1797 0.1323 0.6088
Dy4 0.2582 0.5000 0.4002
Dy5 0.3785 0.2409 0.1998
Ag1 0.3792 0.0000 0.2015
Os1 0.3787 0.3125 0.7001
# **Fermi-level density of states**: 0.9436 states/eV/atom
# **Final energy**: -5.80 eV/atom
# **Total magnetization**: 0.00 μB/atom

# La3WN4 GGA-PBE relaxed
data_La3WN4
_chemical_formula_sum 'La6 W2 N8'
_cell_length_a 7.8463
_cell_length_b 7.0730
_cell_length_c 5.5353
_cell_angle_alpha 90.00
_cell_angle_beta 90.00
_cell_angle_gamma 90.00
_symmetry_space_group_name_H-M 'P m n 21'
_symmetry_Int_Tables_number 31
loop_
_symmetry_equiv_pos_as_xyz
'x,y,z'
'-x+1/2,-y,z+1/2'
'-x,y,z'
'x+1/2,-y,z+1/2'
loop_
_atom_site_label
_atom_site_fract_x
_atom_site_fract_y
_atom_site_fract_z
La1 0.0000 0.1512 0.0000
La2 0.2467 0.3438 0.5057
W1 0.0000 0.8267 0.4510
N1 0.0000 0.0961 0.5079
N2 0.0000 0.8265 0.1080
N3 0.2149 0.6984 0.5005
# **Fermi-level density of states**: 0.5731 states/eV/atom
# **Raw formation energy**: -1.051 eV/atom
# **Final energy**: -8.68 eV/atom
# **Total magnetization**: 0.15 μB/atom

# Tl3AsI6 GGA-PBE relaxed
data_Tl3AsI6
_chemical_formula_sum 'Tl6 As2 I12'
_cell_length_a 8.0530
_cell_length_b 8.9459
_cell_length_c 13.9149
_cell_angle_alpha 90.00
_cell_angle_beta 122.03
_cell_angle_gamma 90.00
_symmetry_space_group_name_H-M 'P 1 21/c 1'
_symmetry_Int_Tables_number 14
loop_
_symmetry_equiv_pos_as_xyz
'x,y,z'
'-x,-y,-z'
'-x,y+1/2,-z+1/2'
'x,-y+1/2,z+1/2'
loop_
_atom_site_label
_atom_site_fract_x
_atom_site_fract_y
_atom_site_fract_z
Tl1 0.0000 0.0000 0.0000
Tl2 0.1976 0.0900 0.7384
As1 0.5000 0.0000 0.5000
I1 0.1588 0.1686 0.4542
I2 0.2722 0.7243 0.4292
I3 0.4018 0.0515 0.2704
# **Fermi-level density of states**: 0.0000 states/eV/atom
# **Raw formation energy**: -0.450 eV/atom
# **Final energy**: -2.55 eV/atom
# **Total magnetization**: 0.00 μB/atom

# NbPb GGA-PBE relaxed
data_NbPb
_chemical_formula_sum 'Nb2 Pb2'
_cell_length_a 4.6940
_cell_length_b 3.4067
_cell_length_c 5.4424
_cell_angle_alpha 90.00
_cell_angle_beta 90.00
_cell_angle_gamma 90.00
_symmetry_space_group_name_H-M 'A m m 2'
_symmetry_Int_Tables_number 38
loop_
_symmetry_equiv_pos_as_xyz
'x,y,z'
'-x,-y,z'
'-x,y,z'
'x,-y,z'
'x,y+1/2,z+1/2'
'-x,-y+1/2,z+1/2'
'-x,y+1/2,z+1/2'
'x,-y+1/2,z+1/2'
loop_
_atom_site_label
_atom_site_fract_x
_atom_site_fract_y
_atom_site_fract_z
Nb1 0.0000 0.0000 0.0000
Pb1 0.5000 0.0000 0.3464
# **Fermi-level density of states**: 0.4889 states/eV/atom
# **Relative energy among the computed polymorphs**: 134 meV/atom
# **Final energy**: -6.51 eV/atom
# **Total magnetization**: 0.00 μB/atom

# ScTcRu2Rh GGA-PBE relaxed
data_ScTcRu2Rh
_chemical_formula_sum 'Sc1 Tc1 Ru2 Rh1'
_cell_length_a 4.6103
_cell_length_b 4.6103
_cell_length_c 4.6852
_cell_angle_alpha 90.00
_cell_angle_beta 90.00
_cell_angle_gamma 90.00
_symmetry_space_group_name_H-M 'P 4/m m m'
_symmetry_Int_Tables_number 123
_symmetry_space_group_name_Hall '-P 4 2'
loop_
_atom_site_label
_atom_site_fract_x
_atom_site_fract_y
_atom_site_fract_z
Sc1 0.0000 0.0000 0.0000
Tc1 0.5000 0.5000 0.5000
Ru1 0.0000 0.5000 0.5000
Rh1 0.5000 0.5000 0.0000
# **Fermi-level density of states**: 0.8500 states/eV/atom
# **Relative energy among the computed polymorphs**: 0 meV/atom
# **Final energy**: -7.68 eV/atom
# **Total magnetization**: 0.00 μB/atom